Entry 1:
Here is an optimized crystal structure of YMgHg4 from Alexandria. Energies are from PBE.

a b c (Å): 5.9340 5.9340 5.9340
angles (deg): 60.00 60.00 60.00
Last column: nearest neighbours and their distance in Å.
Fractional positions:
Y: 0.0000 0.0000 0.0000  12 Hg 3.48, 4 Mg 3.63
Mg: 0.2500 0.2500 0.2500  12 Hg 3.48, 4 Y 3.63
Hg: 0.1246 0.6251 0.6251  6 Hg 2.96-2.97
Hg: 0.6251 0.6251 0.6251  6 Hg 2.96-2.97
Hg: 0.6251 0.1246 0.6251  6 Hg 2.96-2.97
Hg: 0.6251 0.6251 0.1246  6 Hg 2.96-2.97

The total magnetic moment is 0.00 μB/f.u. For the energy above the most stable polymorph in this dataset, the calculation gives 4.65 kcal/mol of atoms. The volume is 147.8 Å³/f.u.

Entry 2:
Here is an optimized crystal structure of YMg3Hg3 from Alexandria. Energies are from PBE.

a b c (Å): 7.4649 7.4649 7.4649
angles (deg): 90.00 90.00 90.00
Last column: nearest neighbours and their distance in Å.
Fractional positions:
Y: 0.5000 0.5000 0.5000  12 Hg 4.17, 12 Mg 4.17
Y: 0.0000 0.0000 0.0000  12 Hg 4.17, 12 Mg 4.17
Mg: 0.2500 0.0000 0.5000  4 Hg 2.64
Mg: 0.0000 0.5000 0.2500  4 Hg 2.64
Mg: 0.5000 0.7500 0.0000  4 Hg 2.64
Mg: 0.7500 0.0000 0.5000  4 Hg 2.64
Mg: 0.0000 0.5000 0.7500  4 Hg 2.64
Mg: 0.5000 0.2500 0.0000  4 Hg 2.64
Hg: 0.0000 0.2500 0.5000  4 Mg 2.64
Hg: 0.0000 0.7500 0.5000  4 Mg 2.64
Hg: 0.5000 0.0000 0.7500  4 Mg 2.64
Hg: 0.7500 0.5000 0.0000  4 Mg 2.64
Hg: 0.5000 0.0000 0.2500  4 Mg 2.64
Hg: 0.2500 0.5000 0.0000  4 Mg 2.64

The total magnetic moment is 0.00 μB/f.u. Its uncorrected energy is -1.496 eV per atom. The volume is 208.0 Å³/f.u.